# 1
Below is crystalline Tb3TcBr3 at its relaxed geometry, with properties calculated at the GGA-PBE level.

Cell: 8.731 4.019 12.032 Å, 90.00 91.82 90.00°
Positions (direct):
Tb  0.091  0.250  0.321
Tb  0.168  0.250  0.852
Tb  0.262  0.750  0.103
Tb  0.738  0.250  0.897
Tb  0.832  0.750  0.148
Tb  0.909  0.750  0.679
Tc  0.033  0.250  0.078
Tc  0.967  0.750  0.922
Br  0.132  0.250  0.599
Br  0.328  0.750  0.353
Br  0.446  0.750  0.870
Br  0.554  0.250  0.130
Br  0.672  0.250  0.647
Br  0.868  0.750  0.401

Summary:
Space-group type = P2_1/m (11)
Crystal system = monoclinic
Formation energy from raw total energies = -7.960 eV per formula unit


# 2
Below is crystalline K2Ge4Pd3Pt at its relaxed geometry, with properties calculated at the GGA-PBE level.

Cell: 4.409 4.409 10.604 Å, 90.00 90.00 90.00°
Positions (direct):
K  0.000  0.500  0.249
K  0.500  0.000  0.751
Ge  0.000  0.000  0.000
Ge  0.000  0.500  0.620
Ge  0.500  0.000  0.380
Ge  0.500  0.500  0.000
Pd  0.000  0.500  0.872
Pd  0.500  0.000  0.128
Pd  0.500  0.500  0.500
Pt  0.000  0.000  0.500

Summary:
Space-group type = P-4m2 (115)
Energy of formation = -365 meV/atom
Crystal system = tetragonal


# 3
Below is crystalline NaBi at its relaxed geometry, with properties calculated at the GGA-PBE level.

Cell: 5.484 5.484 6.127 Å, 90.00 90.00 120.00°
Positions (direct):
Na  0.333  0.667  0.250
Na  0.667  0.333  0.750
Bi  0.333  0.667  0.750
Bi  0.667  0.333  0.250

Summary:
Energy above the most stable polymorph in this dataset = 109 kJ/mol of formula units
Space-group type = P6_3/mmc (194)
Energy of formation = 262 meV/atom
Crystal system = hexagonal


# 4
Below is crystalline SnB2Se6 at its relaxed geometry, with properties calculated at the GGA-PBE level.

Cell: 8.353 8.353 6.386 Å, 99.73 99.73 76.63°
Positions (direct):
Sn  0.132  0.868  0.750
Sn  0.868  0.132  0.250
B  0.189  0.335  0.658
B  0.335  0.189  0.158
B  0.665  0.811  0.842
B  0.811  0.665  0.342
Se  0.011  0.204  0.658
Se  0.107  0.562  0.838
Se  0.204  0.011  0.158
Se  0.252  0.392  0.379
Se  0.392  0.252  0.879
Se  0.438  0.893  0.662
Se  0.562  0.107  0.338
Se  0.608  0.748  0.121
Se  0.748  0.608  0.621
Se  0.796  0.989  0.842
Se  0.893  0.438  0.162
Se  0.989  0.796  0.342

Summary:
Space-group type = C2/c (15)
Crystal system = monoclinic
Formation energy from raw total energies = -0.277 eV per formula unit


# 5
Below is crystalline SrPaNbO6 at its relaxed geometry, with properties calculated at the GGA-PBE level.

Cell: 5.690 5.690 10.402 Å, 90.00 90.00 120.00°
Positions (direct):
Sr  0.000  0.000  0.000
Sr  0.000  0.000  0.500
Pa  0.333  0.667  0.250
Pa  0.667  0.333  0.750
Nb  0.333  0.667  0.750
Nb  0.667  0.333  0.250
O  0.020  0.382  0.645
O  0.020  0.638  0.855
O  0.362  0.382  0.855
O  0.362  0.980  0.645
O  0.382  0.020  0.145
O  0.382  0.362  0.355
O  0.618  0.638  0.645
O  0.618  0.980  0.855
O  0.638  0.020  0.355
O  0.638  0.618  0.145
O  0.980  0.362  0.145
O  0.980  0.618  0.355

Summary:
Space-group type = P-31c (163)
Crystal system = trigonal
Formation energy from raw total energies = -28.170 eV per formula unit


# 6
Below is crystalline CaBrCl2 at its relaxed geometry, with properties calculated at the GGA-PBE level.

Cell: 11.766 11.766 11.766 Å, 19.55 19.55 19.55°
Positions (direct):
Ca  0.000  0.000  0.000
Br  0.500  0.500  0.500
Cl  0.376  0.376  0.376
Cl  0.624  0.624  0.624

Summary:
Energy above the most stable polymorph in this dataset = 44 kJ/mol of formula units
Space-group type = R-3m (166)
Crystal system = trigonal
Formation energy from raw total energies = -6.084 eV per formula unit


# 7
Below is crystalline SrSmSe2 at its relaxed geometry, with properties calculated at the GGA-PBE level.

Cell: 7.852 7.852 7.852 Å, 30.94 30.94 30.94°
Positions (direct):
Sr  0.000  0.000  0.000
Sm  0.174  0.174  0.174
Se  0.582  0.582  0.582
Se  0.760  0.760  0.760

Summary:
Energy above the most stable polymorph in this dataset = 30 kJ/mol of formula units
Space-group type = R3m (160)
Crystal system = trigonal
Formation energy from raw total energies = -7.337 eV per formula unit


# 8
Below is crystalline BeTl3 at its relaxed geometry, with properties calculated at the GGA-PBE level.

Cell: 3.532 6.451 9.028 Å, 90.00 90.00 90.00°
Positions (direct):
Be  0.250  0.250  0.172
Be  0.750  0.750  0.828
Tl  0.250  0.002  0.664
Tl  0.250  0.498  0.664
Tl  0.250  0.750  0.050
Tl  0.750  0.250  0.950
Tl  0.750  0.502  0.336
Tl  0.750  0.998  0.336

Summary:
Energy above the most stable polymorph in this dataset = 33 kJ/mol of formula units
Space-group type = Pmmn (59)
Energy of formation = 404 meV/atom
Crystal system = orthorhombic


# 9
Below is crystalline CeGa7Ni2 at its relaxed geometry, with properties calculated at the GGA-PBE level.

Cell: 7.514 7.514 4.215 Å, 90.00 90.00 119.73°
Positions (direct):
Ce  0.000  0.000  0.000
Ga  0.040  0.335  0.500
Ga  0.246  0.754  0.000
Ga  0.335  0.040  0.500
Ga  0.500  0.500  0.500
Ga  0.665  0.960  0.500
Ga  0.754  0.246  0.000
Ga  0.960  0.665  0.500
Ni  0.323  0.677  0.500
Ni  0.677  0.323  0.500

Summary:
Space-group type = Cmmm (65)
Energy of formation = -104 meV/atom
Crystal system = orthorhombic


# 10
Below is crystalline DyHo2NpN4 at its relaxed geometry, with properties calculated at the GGA-PBE level.

Cell: 5.960 3.451 5.961 Å, 90.00 109.00 90.00°
Positions (direct):
Dy  0.000  0.000  0.000
Ho  0.500  0.000  0.500
Ho  0.500  0.500  0.000
Np  0.000  0.500  0.500
N  0.242  0.500  0.261
N  0.245  0.000  0.744
N  0.755  0.000  0.256
N  0.758  0.500  0.739

Summary:
Space-group type = P2/m (10)
Crystal system = monoclinic
Formation energy from raw total energies = -12.568 eV per formula unit


no.,VASP energy (eV/atom),Fermi-level density of states (states/eV/atom)
1,-5.319,0.3628
2,-4.594,0.6241
3,-2.338,0.7187
4,-4.282,0.2711
5,-8.796,0.0000
6,-3.363,0.9396
7,-5.177,0.5798
8,-2.303,0.2924
9,-3.973,0.9707
10,-9.071,0.7573